Entry 1:
# MgTeI5 GGA-PBE relaxed
data_MgTeI5
_cell_length_a 11.771
_cell_length_b 9.735
_cell_length_c 11.609
_cell_angle_alpha 90.00
_cell_angle_beta 110.46
_cell_angle_gamma 90.00
_symmetry_space_group_name_H-M 'C 1 2/c 1'
_symmetry_Int_Tables_number 15
loop_
_symmetry_equiv_pos_as_xyz
'x,y,z'
'-x,-y,-z'
'-x,y,-z+1/2'
'x,-y,z+1/2'
'x+1/2,y+1/2,z'
'-x+1/2,-y+1/2,-z'
'-x+1/2,y+1/2,-z+1/2'
'x+1/2,-y+1/2,z+1/2'
loop_
_atom_site_label
_atom_site_fract_x
_atom_site_fract_y
_atom_site_fract_z
Mg1 0.000 0.048 0.250
Te1 0.250 0.250 0.000
I1 0.000 0.246 0.750
I2 0.100 0.283 0.159
I3 0.204 0.050 0.479
# * total magnetization: 0.0 μB per cell
# * ΔE_f (raw): -42 kJ per mole of atoms
# * E: -2.2217 eV/atom

Entry 2:
# Pr2ZrCd GGA-PBE relaxed
data_Pr2ZrCd
_cell_length_a 3.510
_cell_length_b 3.510
_cell_length_c 9.420
_cell_angle_alpha 90.00
_cell_angle_beta 90.00
_cell_angle_gamma 90.00
_symmetry_space_group_name_H-M 'P 4/m m m'
_symmetry_Int_Tables_number 123
_symmetry_space_group_name_Hall '-P 4 2'
loop_
_atom_site_label
_atom_site_fract_x
_atom_site_fract_y
_atom_site_fract_z
Pr1 0.000 0.000 0.247
Zr1 0.500 0.500 0.500
Cd1 0.500 0.500 0.000
# * total magnetization: 0.0 μB per cell
# * energy relative to the elements: -0.050 eV per atom
# * E: -4.8052 eV/atom
# * energy above the lowest structure with this stoichiometry: 0 meV per atom

Entry 3:
# YScRe2 GGA-PBE relaxed
data_YScRe2
_cell_length_a 4.689
_cell_length_b 4.689
_cell_length_c 3.423
_cell_angle_alpha 90.00
_cell_angle_beta 90.00
_cell_angle_gamma 90.00
_symmetry_space_group_name_H-M 'P 4/m m m'
_symmetry_Int_Tables_number 123
_symmetry_space_group_name_Hall '-P 4 2'
loop_
_atom_site_label
_atom_site_fract_x
_atom_site_fract_y
_atom_site_fract_z
Y1 0.000 0.000 0.000
Sc1 0.500 0.500 0.000
Re1 0.000 0.500 0.500
# * total magnetization: 0.0 μB per cell
# * energy relative to the elements: 0.410 eV per atom
# * E: -9.0134 eV/atom
# * energy above the lowest structure with this stoichiometry: 456 meV per atom

Entry 4:
# HfTiS2 GGA-PBE relaxed
data_HfTiS2
_cell_length_a 3.3658
_cell_length_b 3.3658
_cell_length_c 23.9570
_cell_angle_alpha 90.00
_cell_angle_beta 90.00
_cell_angle_gamma 120.00
_symmetry_space_group_name_H-M 'R -3 m'
_symmetry_Int_Tables_number 166
_symmetry_space_group_name_Hall '-R 3 2"'
loop_
_atom_site_label
_atom_site_fract_x
_atom_site_fract_y
_atom_site_fract_z
Hf1 0.0000 0.0000 0.0000
Ti1 0.0000 0.0000 0.5000
S1 0.0000 0.0000 0.1045
# * total magnetization: 0.0 μB per cell
# * ΔE_f (raw): -89 kJ per mole of atoms
# * E: -7.4435 eV/atom
# * energy above the lowest structure with this stoichiometry: 408 meV per atom

- What is the formula in the third record?
  YScRe2

- The highest E belongs to which entry?
  MgTeI5